Entry 1:
Material: Zr3Ge5S
Method: DFT, PBE-GGA
State: relaxed

Lattice parameters (Å, degrees): 7.181 7.181 3.750 90.00 90.00 120.00
Fractional positions:
1 Zr 0.000 0.631 0.000
2 Zr 0.369 0.369 0.000
3 Zr 0.631 0.000 0.000
4 Ge 0.000 0.284 0.500
5 Ge 0.284 0.000 0.500
6 Ge 0.333 0.667 0.500
7 Ge 0.667 0.333 0.500
8 Ge 0.716 0.716 0.500
9 S 0.000 0.000 0.000

Symmetry: P-62m (189)



Entry 2:
Material: ZrGeS3
Method: DFT, PBE-GGA
State: relaxed

Lattice parameters (Å, degrees): 9.491 3.662 13.851 90.00 90.00 90.00
Fractional positions:
1 Zr 0.157 0.250 0.048
2 Zr 0.343 0.750 0.548
3 Zr 0.657 0.250 0.452
4 Zr 0.843 0.750 0.952
5 Ge 0.070 0.250 0.657
6 Ge 0.430 0.750 0.157
7 Ge 0.570 0.250 0.843
8 Ge 0.930 0.750 0.343
9 S 0.012 0.250 0.890
10 S 0.170 0.250 0.492
11 S 0.221 0.750 0.713
12 S 0.279 0.250 0.213
13 S 0.330 0.750 0.992
14 S 0.488 0.750 0.390
15 S 0.512 0.250 0.610
16 S 0.670 0.250 0.008
17 S 0.721 0.750 0.787
18 S 0.779 0.250 0.287
19 S 0.830 0.750 0.508
20 S 0.988 0.750 0.110

Symmetry: Pnma (62)



| no. | VASP energy (eV/atom) |
| --- | --- |
| 1 | -6.235 |
| 2 | -6.136 |